Version a
First-principles (PBE-GGA) data for Nb3InMo after structural relaxation, as listed in Alexandria via LeMat-Bulk.

Values from the calculation:
**Crystal system**: cubic
**Magnetization**: 0.00 Bohr magnetons per cell

abc: 4.9395 4.9395 4.9395
angles: 90.00 90.00 90.00
Atoms (fractional coordinates):
Mo  0.5000  0.5000  0.5000
Nb  0.0000  0.5000  0.0000
Nb  0.0000  0.0000  0.5000
Nb  0.5000  0.0000  0.0000
In  0.0000  0.0000  0.0000

Version b
First-principles (PBE-GGA) data for Nb3InMo after structural relaxation, as listed in Alexandria via LeMat-Bulk.

Values from the calculation:
**Crystal system**: cubic
**Magnetization**: 0.00 Bohr magnetons per cell

abc: 4.8601 4.8601 4.8601
angles: 90.00 90.00 90.00
Atoms (fractional coordinates):
Mo  0.0000  0.0000  0.0000
Nb  0.0000  0.5000  0.0000
Nb  0.0000  0.0000  0.5000
Nb  0.5000  0.0000  0.0000
In  0.5000  0.5000  0.5000

Most stable structure among those shown: version b. Next: +1212 meV per atom.